(1)
This record from Alexandria describes a geometry-optimized TbPm2PrTm structure. The functional is PBE.

The value obtained for the total magnetic moment is 0.00 μB per atom. Its crystal system is monoclinic. The energy of formation from the pure elements comes out at 0.282 eV per atom. For the density of states at the Fermi level, the calculation gives 1.223 states/eV per atom.

It has space group P2/c (No. 13), with a = 8.4533 Å, b = 6.5591 Å, c = 6.2546 Å, α = 90.00°, β = 94.63° and γ = 90.00°. The distinct sites, in fractional coordinates, are Tb at (0.0000, 0.0645, 0.2500), Pm at (0.3113, 0.1904, 0.7245), Pr at (0.0000, 0.5000, 0.0000) and Tm at (0.5000, 0.3364, 0.2500).

(2)
This record from Alexandria describes a geometry-optimized CaMg2Au structure. The functional is PBE.

The value obtained for the total magnetic moment is 0.00 μB per atom. Its crystal system is monoclinic. The energy of formation from the pure elements comes out at -0.313 eV per atom. For the density of states at the Fermi level, the calculation gives 0.507 states/eV per atom.

It has space group P2/m (No. 10), with a = 3.7307 Å, b = 4.6943 Å, c = 5.9011 Å, α = 90.00°, β = 105.22° and γ = 90.00°. The distinct sites, in fractional coordinates, are Ca at (0.0000, 0.0000, 0.0000), Mg at (0.3594, 0.5000, 0.7157) and Au at (0.5000, 0.0000, 0.5000).

(3)
This record from Alexandria describes a geometry-optimized NaAc2TlO6 structure. The functional is PBE.

The value obtained for the total magnetic moment is 0.20 μB per atom. Its crystal system is tetragonal. For the uncorrected formation energy, the calculation gives -18.04 eV/f.u. For the density of states at the Fermi level, the calculation gives 0.443 states/eV per atom.

It has space group P4mm (No. 99), with a = 5.6220 Å, b = 5.6220 Å, c = 5.6352 Å, α = 90.00°, β = 90.00° and γ = 90.00°. The distinct sites, in fractional coordinates, are Na at (0.0000, 0.0000, 0.0000), Ac at (0.0000, 0.5000, 0.4542), Tl at (0.5000, 0.5000, 0.0083), O at (0.0000, 0.0000, 0.5845), O at (0.2526, 0.2526, 0.1941) and O at (0.5000, 0.5000, 0.6290).